--- P ---
This record from the Alexandria database describes crystalline PuCuPt at its relaxed geometry. The functional is GGA-PBE.

Computed properties:
The calculation puts the density of states at the Fermi level at 18.91 states/eV per cell.

The structure in CIF format:
```
data_PuCuPt
_space_group_name_H-M_alt 'I 4 m m'
_space_group_IT_number 107
_space_group_name_Hall 'I 4 -2'
_cell_length_a 3.4105
_cell_length_b 3.4105
_cell_length_c 9.6632
_cell_angle_alpha 90.00
_cell_angle_beta 90.00
_cell_angle_gamma 90.00
loop_
_atom_site_label
_atom_site_type_symbol
_atom_site_fract_x
_atom_site_fract_y
_atom_site_fract_z
Pu1 Pu 0.0000 0.0000 0.0000
Cu1 Cu 0.0000 0.0000 0.6959
Pt1 Pt 0.0000 0.0000 0.3181
```

=====

--- Q ---
This record from the Alexandria database describes crystalline PuCuPt at its relaxed geometry. The functional is GGA-PBE.

Computed properties:
The calculation puts the density of states at the Fermi level at 65.31 states/eV per cell.

The structure in CIF format:
```
data_PuCuPt
_space_group_name_H-M_alt 'I m m 2'
_space_group_IT_number 44
_cell_length_a 4.3148
_cell_length_b 13.2003
_cell_length_c 6.5430
_cell_angle_alpha 90.00
_cell_angle_beta 90.00
_cell_angle_gamma 90.00
loop_
_space_group_symop_operation_xyz
'x,y,z'
'-x,-y,z'
'-x,y,z'
'x,-y,z'
'x+1/2,y+1/2,z+1/2'
'-x+1/2,-y+1/2,z+1/2'
'-x+1/2,y+1/2,z+1/2'
'x+1/2,-y+1/2,z+1/2'
loop_
_atom_site_label
_atom_site_type_symbol
_atom_site_fract_x
_atom_site_fract_y
_atom_site_fract_z
Pu1 Pu 0.0000 0.0000 0.0000
Pu2 Pu 0.0000 0.3481 0.1302
Cu1 Cu 0.0000 0.0000 0.5519
Cu2 Cu 0.0000 0.3191 0.5969
Pt1 Pt 0.0000 0.1621 0.3339
Pt2 Pt 0.0000 0.5000 0.7841
```

=====

--- R ---
This record from the Alexandria database describes crystalline PuCuPt at its relaxed geometry. The functional is GGA-PBE.

Computed properties:
The calculation puts the density of states at the Fermi level at 34.54 states/eV per cell.

The structure in CIF format:
```
data_PuCuPt
_space_group_name_H-M_alt 'I m m a'
_space_group_IT_number 74
_space_group_name_Hall '-I 2b 2'
_cell_length_a 5.1536
_cell_length_b 5.5606
_cell_length_c 7.5411
_cell_angle_alpha 90.00
_cell_angle_beta 90.00
_cell_angle_gamma 90.00
loop_
_atom_site_label
_atom_site_type_symbol
_atom_site_fract_x
_atom_site_fract_y
_atom_site_fract_z
Pu1 Pu 0.0000 0.2500 0.1284
Cu1 Cu 0.2500 0.2500 0.7500
Pt1 Pt 0.0000 0.0000 0.5000
```

=====

The structure with the most favorable energy is R; the runner-up is 0.230 eV/atom above it.

=====

--- P ---
This record from the Alexandria database describes crystalline Pu3CuPt3 at its relaxed geometry. The functional is GGA-PBE.

Computed properties:
The calculation puts the density of states at the Fermi level at 115.51 states/eV per cell.

The structure in CIF format:
```
data_Pu3CuPt3
_space_group_name_H-M_alt 'C m c m'
_space_group_IT_number 63
_space_group_name_Hall '-C 2c 2'
_cell_length_a 4.2434
_cell_length_b 10.3428
_cell_length_c 13.6674
_cell_angle_alpha 90.00
_cell_angle_beta 90.00
_cell_angle_gamma 90.00
loop_
_atom_site_label
_atom_site_type_symbol
_atom_site_fract_x
_atom_site_fract_y
_atom_site_fract_z
Pu1 Pu 0.0000 0.0241 0.2500
Pu2 Pu 0.0000 0.2965 0.1029
Cu1 Cu 0.0000 0.0000 0.0000
Pt1 Pt 0.0000 0.2533 0.7500
Pt2 Pt 0.0000 0.4194 0.5912
```

=====

--- Q ---
This record from the Alexandria database describes crystalline Pu3CuPt3 at its relaxed geometry. The functional is GGA-PBE.

Computed properties:
The calculation puts the density of states at the Fermi level at 47.95 states/eV per cell.

The structure in CIF format:
```
data_Pu3CuPt3
_space_group_name_H-M_alt 'P 63/m'
_space_group_IT_number 176
_space_group_name_Hall '-P 6c'
_cell_length_a 8.0735
_cell_length_b 8.0735
_cell_length_c 4.9696
_cell_angle_alpha 90.00
_cell_angle_beta 90.00
_cell_angle_gamma 120.00
loop_
_atom_site_label
_atom_site_type_symbol
_atom_site_fract_x
_atom_site_fract_y
_atom_site_fract_z
Pu1 Pu 0.0812 0.6390 0.2500
Cu1 Cu 0.3333 0.6667 0.7500
Pt1 Pt 0.0468 0.8130 0.7500
```

=====

The structure with the most favorable energy is P; the runner-up is 0.214 eV/atom above it.

=====

--- P ---
This record from the Alexandria database describes crystalline RbCu2Pt at its relaxed geometry. The functional is GGA-PBE.

Computed properties:
The calculation puts the density of states at the Fermi level at 11.24 states/eV per cell.

The structure in CIF format:
```
data_RbCu2Pt
_space_group_name_H-M_alt 'F m -3 m'
_space_group_IT_number 225
_space_group_name_Hall '-F 4 2 3'
_cell_length_a 6.7282
_cell_length_b 6.7282
_cell_length_c 6.7282
_cell_angle_alpha 90.00
_cell_angle_beta 90.00
_cell_angle_gamma 90.00
loop_
_atom_site_label
_atom_site_type_symbol
_atom_site_fract_x
_atom_site_fract_y
_atom_site_fract_z
Rb1 Rb 0.0000 0.0000 0.0000
Cu1 Cu 0.2500 0.2500 0.2500
Pt1 Pt 0.0000 0.0000 0.5000
```

=====

--- Q ---
This record from the Alexandria database describes crystalline RbCu2Pt at its relaxed geometry. The functional is GGA-PBE.

Computed properties:
The calculation puts the density of states at the Fermi level at 8.03 states/eV per cell.

The structure in CIF format:
```
data_RbCu2Pt
_space_group_name_H-M_alt 'I 41/a m d'
_space_group_IT_number 141
_cell_length_a 5.0082
_cell_length_b 5.0082
_cell_length_c 16.9610
_cell_angle_alpha 90.00
_cell_angle_beta 90.00
_cell_angle_gamma 90.00
loop_
_space_group_symop_operation_xyz
'x,y,z'
'-x,-y,-z'
'-y+1/4,x+3/4,z+1/4'
'y+1/4,-x+3/4,-z+1/4'
'-x+1/2,-y,z+1/2'
'x+1/2,y,-z+1/2'
'y+1/4,-x+1/4,z+3/4'
'-y+1/4,x+1/4,-z+3/4'
'x,-y,-z'
'-x,y,z'
'-y+1/4,-x+1/4,-z+3/4'
'y+1/4,x+1/4,z+3/4'
'-x+1/2,y,-z+1/2'
'x+1/2,-y,z+1/2'
'y+1/4,x+3/4,-z+1/4'
'-y+1/4,-x+3/4,z+1/4'
'x+1/2,y+1/2,z+1/2'
'-x+1/2,-y+1/2,-z+1/2'
'-y+3/4,x+1/4,z+3/4'
'y+3/4,-x+1/4,-z+3/4'
'-x,-y+1/2,z'
'x,y+1/2,-z'
'y+3/4,-x+3/4,z+1/4'
'-y+3/4,x+3/4,-z+1/4'
'x+1/2,-y+1/2,-z+1/2'
'-x+1/2,y+1/2,z+1/2'
'-y+3/4,-x+3/4,-z+1/4'
'y+3/4,x+3/4,z+1/4'
'-x,y+1/2,-z'
'x,-y+1/2,z'
'y+3/4,x+1/4,-z+3/4'
'-y+3/4,-x+1/4,z+3/4'
loop_
_atom_site_label
_atom_site_type_symbol
_atom_site_fract_x
_atom_site_fract_y
_atom_site_fract_z
Rb1 Rb 0.0000 0.2500 0.3750
Cu1 Cu 0.0000 0.0000 0.0000
Pt1 Pt 0.0000 0.2500 0.8750
```

=====

The structure with the most favorable energy is Q; the runner-up is 0.385 eV/atom above it.

=====

--- P ---
This record from the Alexandria database describes crystalline RbCuPt2 at its relaxed geometry. The functional is GGA-PBE.

Computed properties:
The calculation puts the density of states at the Fermi level at 11.91 states/eV per cell.

The structure in CIF format:
```
data_RbCuPt2
_space_group_name_H-M_alt 'I -4 2 d'
_space_group_IT_number 122
_space_group_name_Hall 'I -4 2bw'
_cell_length_a 5.0020
_cell_length_b 5.0020
_cell_length_c 17.2280
_cell_angle_alpha 90.00
_cell_angle_beta 90.00
_cell_angle_gamma 90.00
loop_
_atom_site_label
_atom_site_type_symbol
_atom_site_fract_x
_atom_site_fract_y
_atom_site_fract_z
Rb1 Rb 0.0000 0.0000 0.0000
Cu1 Cu 0.0000 0.0000 0.5000
Pt1 Pt 0.0534 0.7500 0.6250
```

=====

--- Q ---
This record from the Alexandria database describes crystalline RbCuPt2 at its relaxed geometry. The functional is GGA-PBE.

Computed properties:
The calculation puts the density of states at the Fermi level at 4.77 states/eV per cell.

The structure in CIF format:
```
data_RbCuPt2
_space_group_name_H-M_alt 'F m -3 m'
_space_group_IT_number 225
_space_group_name_Hall '-F 4 2 3'
_cell_length_a 6.7423
_cell_length_b 6.7423
_cell_length_c 6.7423
_cell_angle_alpha 90.00
_cell_angle_beta 90.00
_cell_angle_gamma 90.00
loop_
_atom_site_label
_atom_site_type_symbol
_atom_site_fract_x
_atom_site_fract_y
_atom_site_fract_z
Rb1 Rb 0.0000 0.0000 0.0000
Cu1 Cu 0.0000 0.0000 0.5000
Pt1 Pt 0.2500 0.2500 0.2500
```

=====

The structure with the most favorable energy is P; the runner-up is 0.564 eV/atom above it.

=====

--- P ---
This record from the Alexandria database describes crystalline CuRePt at its relaxed geometry. The functional is GGA-PBE.

Computed properties:
The calculation puts the density of states at the Fermi level at 7.82 states/eV per cell.

The structure in CIF format:
```
data_CuRePt
_space_group_name_H-M_alt 'C m c m'
_space_group_IT_number 63
_space_group_name_Hall '-C 2c 2'
_cell_length_a 4.0432
_cell_length_b 10.9723
_cell_length_c 3.8882
_cell_angle_alpha 90.00
_cell_angle_beta 90.00
_cell_angle_gamma 90.00
loop_
_atom_site_label
_atom_site_type_symbol
_atom_site_fract_x
_atom_site_fract_y
_atom_site_fract_z
Cu1 Cu 0.0000 0.2478 0.2500
Re1 Re 0.0000 0.4244 0.7500
Pt1 Pt 0.0000 0.0871 0.7500
```

=====

--- Q ---
This record from the Alexandria database describes crystalline CuRePt at its relaxed geometry. The functional is GGA-PBE.

Computed properties:
The calculation puts the density of states at the Fermi level at 7.34 states/eV per cell.

The structure in CIF format:
```
data_CuRePt
_space_group_name_H-M_alt 'C 1 2/c 1'
_space_group_IT_number 15
_cell_length_a 4.6825
_cell_length_b 8.1747
_cell_length_c 4.6539
_cell_angle_alpha 90.00
_cell_angle_beta 106.66
_cell_angle_gamma 90.00
loop_
_space_group_symop_operation_xyz
'x,y,z'
'-x,-y,-z'
'-x,y,-z+1/2'
'x,-y,z+1/2'
'x+1/2,y+1/2,z'
'-x+1/2,-y+1/2,-z'
'-x+1/2,y+1/2,-z+1/2'
'x+1/2,-y+1/2,z+1/2'
loop_
_atom_site_label
_atom_site_type_symbol
_atom_site_fract_x
_atom_site_fract_y
_atom_site_fract_z
Cu1 Cu 0.0000 0.2457 0.2500
Re1 Re 0.0000 0.4265 0.7500
Pt1 Pt 0.0000 0.0950 0.7500
```

=====

--- R ---
This record from the Alexandria database describes crystalline CuRePt at its relaxed geometry. The functional is GGA-PBE.

Computed properties:
The calculation puts the density of states at the Fermi level at 4.51 states/eV per cell.

The structure in CIF format:
```
data_CuRePt
_space_group_name_H-M_alt 'P 4/n m m'
_space_group_IT_number 129
_cell_length_a 2.7826
_cell_length_b 2.7826
_cell_length_c 11.0166
_cell_angle_alpha 90.00
_cell_angle_beta 90.00
_cell_angle_gamma 90.00
loop_
_space_group_symop_operation_xyz
'x,y,z'
'-x,-y,-z'
'-y+1/2,x,z'
'y+1/2,-x,-z'
'-x+1/2,-y+1/2,z'
'x+1/2,y+1/2,-z'
'y,-x+1/2,z'
'-y,x+1/2,-z'
'x+1/2,-y,-z'
'-x+1/2,y,z'
'-y,-x,-z'
'y,x,z'
'-x,y+1/2,-z'
'x,-y+1/2,z'
'y+1/2,x+1/2,-z'
'-y+1/2,-x+1/2,z'
loop_
_atom_site_label
_atom_site_type_symbol
_atom_site_fract_x
_atom_site_fract_y
_atom_site_fract_z
Cu1 Cu 0.2500 0.2500 0.0713
Re1 Re 0.2500 0.2500 0.4156
Pt1 Pt 0.2500 0.2500 0.7622
```

=====

--- S ---
This record from the Alexandria database describes crystalline CuRePt at its relaxed geometry. The functional is GGA-PBE.

Computed properties:
The calculation puts the density of states at the Fermi level at 4.02 states/eV per cell.

The structure in CIF format:
```
data_CuRePt
_space_group_name_H-M_alt 'P 1 21/m 1'
_space_group_IT_number 11
_cell_length_a 4.6334
_cell_length_b 2.7562
_cell_length_c 6.9411
_cell_angle_alpha 90.00
_cell_angle_beta 103.36
_cell_angle_gamma 90.00
loop_
_space_group_symop_operation_xyz
'x,y,z'
'-x,-y,-z'
'-x,y+1/2,-z'
'x,-y+1/2,z'
loop_
_atom_site_label
_atom_site_type_symbol
_atom_site_fract_x
_atom_site_fract_y
_atom_site_fract_z
Cu1 Cu 0.0289 0.2500 0.3371
Re1 Re 0.2455 0.2500 0.0016
Pt1 Pt 0.4748 0.2500 0.6727
```

=====

The structure with the most favorable energy is R; the runner-up is 0.128 eV/atom above it.